Sr3PbN | the Alexandria database | PBE-GGA | relaxed; E_tot = -17.96 eV for the cell shown; calculated volume = 49.7 Å³/atom; space-group type = Amm2 (38)
1.0
3.758 0.000 0.000
0.000 4.006 8.253
0.000 -4.006 8.253
Sr Pb N
3 1 1
Cartesian
0.000 0.000 0.000
1.879 -2.357 5.217
1.879 2.357 5.217
1.879 0.000 2.816
0.000 0.000 14.046